A plane-wave DFT calculation with PBE with a Hubbard U was carried out for a geometry-optimized CdMoN2F structure.

The calculation puts the energy above the lowest structure with this stoichiometry at 0 kJ/mol of formula units. Its space group is P4/mmm, No. 123.

Unit cell a=4.047 b=4.047 c=4.166 alpha=90.00 beta=90.00 gamma=90.00
Sites, in units of the cell vectors:
Cd: 0.000 0.000 0.000
Mo: 0.500 0.500 0.500
N: 0.000 0.500 0.500
N: 0.500 0.000 0.500
F: 0.500 0.500 0.000